[1]
Computed, not measured: a relaxed MgReTc crystal at the PBEsol level of DFT.

Summary:
The calculation puts the raw total energy at -8.6858 eV/atom. As for the formation energy: 86 meV per atom. As for the spin magnetization: 0.000 μB/atom. For the volume, the calculation gives 15.2 Å³ per atom.

Unit cell a=3.0317 b=3.0317 c=5.4161 alpha=106.25 beta=106.25 gamma=90.00
Fractional coordinates of all 3 atoms:
Re1 0.6819 0.6819 0.3638
Mg1 0.9993 0.9993 0.9986
Tc1 0.3188 0.3188 0.6376


[2]
Computed, not measured: a relaxed Mg4ReTe crystal at the PBEsol level of DFT.

Summary:
The calculation puts the raw total energy at -3.4167 eV/atom. As for the spin magnetization: 0.000 μB/atom. For the volume, the calculation gives 19.0 Å³ per atom.

Unit cell a=5.4390 b=5.4390 c=5.4390 alpha=60.00 beta=60.00 gamma=60.00
Fractional coordinates of all 6 atoms:
Te1 0.0000 0.0000 0.0000
Re1 0.7500 0.7500 0.7500
Mg1 0.8702 0.3766 0.3766
Mg2 0.3766 0.8702 0.3766
Mg3 0.3766 0.3766 0.8702
Mg4 0.3766 0.3766 0.3766